(1)
This record from Alexandria describes a geometry-optimized Mo2RhCl structure. The functional is PBE.

The structure in CIF format:
```
data_Mo2RhCl
_symmetry_space_group_name_H-M 'P 1'
_symmetry_Int_Tables_number 1
_cell_length_a 9.4718
_cell_length_b 9.4718
_cell_length_c 9.4718
_cell_angle_alpha 17.46
_cell_angle_beta 17.46
_cell_angle_gamma 17.46
loop_
_symmetry_equiv_pos_as_xyz
'x,y,z'
loop_
_atom_site_label
_atom_site_fract_x
_atom_site_fract_y
_atom_site_fract_z
_atom_site_occupancy
Mo1 0.2502 0.2502 0.2502 1
Rh1 0.5108 0.5108 0.5108 1
Mo2 0.0036 0.0036 0.0036 1
Cl1 0.7354 0.7354 0.7354 1
```

Values from the calculation:
energy relative to the elements, uncorrected	0.35	eV per formula unit

***

(2)
This record from Alexandria describes a geometry-optimized MoRh2Cl structure. The functional is PBE.

The structure in CIF format:
```
data_MoRh2Cl
_symmetry_space_group_name_H-M 'P 1'
_symmetry_Int_Tables_number 1
_cell_length_a 8.7675
_cell_length_b 8.7675
_cell_length_c 8.7675
_cell_angle_alpha 18.77
_cell_angle_beta 18.77
_cell_angle_gamma 18.77
loop_
_symmetry_equiv_pos_as_xyz
'x,y,z'
loop_
_atom_site_label
_atom_site_fract_x
_atom_site_fract_y
_atom_site_fract_z
_atom_site_occupancy
Rh1 0.9964 0.9964 0.9964 1
Rh2 0.7490 0.7490 0.7490 1
Cl1 0.5071 0.5071 0.5071 1
Mo1 0.2476 0.2476 0.2476 1
```

Values from the calculation:
energy relative to the elements, uncorrected	0.65	eV per formula unit

***

(3)
This record from Alexandria describes a geometry-optimized MoRh2Cl structure. The functional is PBE.

The structure in CIF format:
```
data_MoRh2Cl
_symmetry_space_group_name_H-M 'P 1'
_symmetry_Int_Tables_number 1
_cell_length_a 2.8610
_cell_length_b 2.8610
_cell_length_c 7.4018
_cell_angle_alpha 90.00
_cell_angle_beta 90.00
_cell_angle_gamma 90.00
loop_
_symmetry_equiv_pos_as_xyz
'x,y,z'
loop_
_atom_site_label
_atom_site_fract_x
_atom_site_fract_y
_atom_site_fract_z
_atom_site_occupancy
Rh1 0.5000 0.5000 0.2446 1
Cl1 0.0000 0.0000 0.5242 1
Rh2 0.0000 0.0000 0.9818 1
Mo1 0.5000 0.5000 0.7494 1
```

Values from the calculation:
energy relative to the elements, uncorrected	0.93	eV per formula unit

***

(4)
This record from Alexandria describes a geometry-optimized Mo2RhCl structure. The functional is PBE.

The structure in CIF format:
```
data_Mo2RhCl
_symmetry_space_group_name_H-M 'P 1'
_symmetry_Int_Tables_number 1
_cell_length_a 4.2029
_cell_length_b 2.7950
_cell_length_c 5.4307
_cell_angle_alpha 74.98
_cell_angle_beta 90.00
_cell_angle_gamma 90.00
loop_
_symmetry_equiv_pos_as_xyz
'x,y,z'
loop_
_atom_site_label
_atom_site_fract_x
_atom_site_fract_y
_atom_site_fract_z
_atom_site_occupancy
Mo1 0.0000 0.8232 0.9769 1
Cl1 0.5000 0.9380 0.7481 1
Mo2 0.5000 0.1692 0.2894 1
Rh1 0.0000 0.5696 0.4855 1
```

Values from the calculation:
energy relative to the elements, uncorrected	1.33	eV per formula unit

***

(5)
This record from Alexandria describes a geometry-optimized MoRh2Cl structure. The functional is PBE.

The structure in CIF format:
```
data_MoRh2Cl
_symmetry_space_group_name_H-M 'P 1'
_symmetry_Int_Tables_number 1
_cell_length_a 2.8470
_cell_length_b 2.8470
_cell_length_c 8.8952
_cell_angle_alpha 90.00
_cell_angle_beta 90.00
_cell_angle_gamma 120.28
loop_
_symmetry_equiv_pos_as_xyz
'x,y,z'
loop_
_atom_site_label
_atom_site_fract_x
_atom_site_fract_y
_atom_site_fract_z
_atom_site_occupancy
Cl1 0.0000 0.0000 0.5086 1
Rh1 0.5000 0.5000 0.2516 1
Mo1 0.5000 0.5000 0.7458 1
Rh2 0.0000 0.0000 0.9940 1
```

Values from the calculation:
energy relative to the elements, uncorrected	1.63	eV per formula unit

***

(6)
This record from Alexandria describes a geometry-optimized Mo2RhCl structure. The functional is PBE.

The structure in CIF format:
```
data_Mo2RhCl
_symmetry_space_group_name_H-M 'P 1'
_symmetry_Int_Tables_number 1
_cell_length_a 5.3394
_cell_length_b 5.3394
_cell_length_c 5.3394
_cell_angle_alpha 148.95
_cell_angle_beta 129.54
_cell_angle_gamma 60.44
loop_
_symmetry_equiv_pos_as_xyz
'x,y,z'
loop_
_atom_site_label
_atom_site_fract_x
_atom_site_fract_y
_atom_site_fract_z
_atom_site_occupancy
Cl1 0.2425 0.7425 0.5000 1
Rh1 0.4870 0.4870 0.0000 1
Mo1 0.7428 0.2428 0.5000 1
Mo2 0.0277 0.0277 0.0000 1
```

Values from the calculation:
energy relative to the elements, uncorrected	1.56	eV per formula unit

***

(7)
This record from Alexandria describes a geometry-optimized Mo2RhCl structure. The functional is PBE.

The structure in CIF format:
```
data_Mo2RhCl
_symmetry_space_group_name_H-M 'P 1'
_symmetry_Int_Tables_number 1
_cell_length_a 5.5863
_cell_length_b 5.5863
_cell_length_c 6.5944
_cell_angle_alpha 64.94
_cell_angle_beta 64.94
_cell_angle_gamma 90.00
loop_
_symmetry_equiv_pos_as_xyz
'x,y,z'
loop_
_atom_site_label
_atom_site_fract_x
_atom_site_fract_y
_atom_site_fract_z
_atom_site_occupancy
Cl1 0.5000 0.5000 0.0000 1
Cl2 0.2500 0.7500 0.5000 1
Mo1 0.6149 0.1250 0.2500 1
Mo2 0.3750 0.3851 0.7500 1
Rh1 0.7500 0.2500 0.5000 1
Rh2 0.0000 0.0000 0.0000 1
Mo3 0.1351 0.6250 0.2500 1
Mo4 0.8750 0.8649 0.7500 1
```

Values from the calculation:
energy relative to the elements, uncorrected	3.86	eV per formula unit

***

(8)
This record from Alexandria describes a geometry-optimized MoRh3Cl structure. The functional is PBE.

The structure in CIF format:
```
data_MoRh3Cl
_symmetry_space_group_name_H-M 'P 1'
_symmetry_Int_Tables_number 1
_cell_length_a 4.7324
_cell_length_b 4.7324
_cell_length_c 4.7324
_cell_angle_alpha 90.00
_cell_angle_beta 90.00
_cell_angle_gamma 90.00
loop_
_symmetry_equiv_pos_as_xyz
'x,y,z'
loop_
_atom_site_label
_atom_site_fract_x
_atom_site_fract_y
_atom_site_fract_z
_atom_site_occupancy
Rh1 0.5000 0.0000 0.0000 1
Rh2 0.0000 0.5000 0.0000 1
Cl1 0.5000 0.5000 0.5000 1
Mo1 0.0000 0.0000 0.0000 1
Rh3 0.0000 0.0000 0.5000 1
```

Values from the calculation:
energy relative to the elements, uncorrected	6.31	eV per formula unit

***

energy relative to the elements, uncorrected of number 5 (MoRh2Cl)? 1.63 eV per formula unit

***

Number 2 is which compound? MoRh2Cl

***

Copy entry 6 word for word.
This record from Alexandria describes a geometry-optimized Mo2RhCl structure. The functional is PBE.

The structure in CIF format:
```
data_Mo2RhCl
_symmetry_space_group_name_H-M 'P 1'
_symmetry_Int_Tables_number 1
_cell_length_a 5.3394
_cell_length_b 5.3394
_cell_length_c 5.3394
_cell_angle_alpha 148.95
_cell_angle_beta 129.54
_cell_angle_gamma 60.44
loop_
_symmetry_equiv_pos_as_xyz
'x,y,z'
loop_
_atom_site_label
_atom_site_fract_x
_atom_site_fract_y
_atom_site_fract_z
_atom_site_occupancy
Cl1 0.2425 0.7425 0.5000 1
Rh1 0.4870 0.4870 0.0000 1
Mo1 0.7428 0.2428 0.5000 1
Mo2 0.0277 0.0277 0.0000 1
```

Values from the calculation:
energy relative to the elements, uncorrected	1.56	eV per formula unit